(1)
MnTl2P | SCAN | PBEsol geometry

Cell: 4.093 4.093 10.206 Å, 90.00 90.00 90.00°
Space group I4/mmm (No. 139)
Asymmetric unit:
Mn1 0.000 0.000 0.000 x2
Tl1 0.000 0.500 0.250 x4
P1 0.000 0.000 0.500 x2

energy = -43.02 eV per atom
excess energy over the best structure of this formula in the dataset = 211 meV/atom
energy relative to the elements = 0.3273 eV per atom


(2)
Tl2InSnF | SCAN | PBEsol geometry

Cell: 5.710 5.710 4.244 Å, 90.00 90.00 90.00°
Space group P4/mmm (No. 123)
Asymmetric unit:
Tl1 0.000 0.500 0.000 x2
In1 0.000 0.000 0.000 x1
Sn1 0.500 0.500 0.500 x1
F1 0.000 0.000 0.500 x1

energy = -43.88 eV per atom
uncorrected formation energy = -0.37 eV per atom


(3)
IrW2Au | SCAN | PBEsol geometry

Cell: 2.752 2.752 8.112 Å, 90.00 90.00 90.00°
Space group P4/mmm (No. 123)
Asymmetric unit:
Ir1 0.000 0.000 0.000 x1
W1 0.500 0.500 0.239 x2
Au1 0.000 0.000 0.500 x1

energy = -69.86 eV per atom
excess energy over the best structure of this formula in the dataset = 0 meV/atom
energy relative to the elements = 0.0487 eV per atom


Q: Which of these has the highest energy?
A: MnTl2P


What did the second record say?
Tl2InSnF | SCAN | PBEsol geometry

Cell: 5.710 5.710 4.244 Å, 90.00 90.00 90.00°
Space group P4/mmm (No. 123)
Asymmetric unit:
Tl1 0.000 0.500 0.000 x2
In1 0.000 0.000 0.000 x1
Sn1 0.500 0.500 0.500 x1
F1 0.000 0.000 0.500 x1

energy = -43.88 eV per atom
uncorrected formation energy = -0.37 eV per atom


Please write out number 1 again, unchanged.
MnTl2P | SCAN | PBEsol geometry

Cell: 4.093 4.093 10.206 Å, 90.00 90.00 90.00°
Space group I4/mmm (No. 139)
Asymmetric unit:
Mn1 0.000 0.000 0.000 x2
Tl1 0.000 0.500 0.250 x4
P1 0.000 0.000 0.500 x2

energy = -43.02 eV per atom
excess energy over the best structure of this formula in the dataset = 211 meV/atom
energy relative to the elements = 0.3273 eV per atom


Q: The highest energy belongs to which entry?
A: MnTl2P